# 1
Pm5Ga2O: relaxed, PBE.

Properties
ΔE_f (raw): -0.68 eV per atom
space group: Cmcm, No. 63
DFT total energy: -40.20 eV per formula unit
DOS at the Fermi energy: 0.813 states/eV/atom

Unit cell a=6.176 b=6.906 c=11.356 alpha=90.00 beta=90.00 gamma=116.56
Fractional positions:
Pm (0.619, 0.238, 0.250)
Pm (0.643, 0.285, 0.590)
Pm (0.643, 0.285, 0.910)
Pm (0.357, 0.715, 0.410)
Pm (0.082, 0.164, 0.394)
Pm (0.082, 0.164, 0.106)
Pm (0.381, 0.762, 0.750)
Pm (0.918, 0.836, 0.894)
Pm (0.357, 0.715, 0.090)
Pm (0.918, 0.836, 0.606)
Ga (0.834, 0.669, 0.365)
Ga (0.166, 0.331, 0.635)
Ga (0.834, 0.669, 0.135)
Ga (0.166, 0.331, 0.865)
O (0.215, 0.430, 0.250)
O (0.785, 0.570, 0.750)



# 2
NaTlHg2Cl8: relaxed, PBE.

Properties
ΔE_f (raw): -0.80 eV per atom
space group: P-1, No. 2
DFT total energy: -28.71 eV per formula unit
DOS at the Fermi energy: 0.000 states/eV/atom

Unit cell a=6.990 b=6.457 c=8.151 alpha=80.25 beta=84.27 gamma=90.77
Fractional positions:
Cl (0.869, 0.236, 0.752)
Cl (0.131, 0.764, 0.248)
Cl (0.362, 0.262, 0.479)
Cl (0.851, 0.213, 0.213)
Cl (0.638, 0.738, 0.521)
Cl (0.359, 0.251, 0.987)
Cl (0.641, 0.749, 0.013)
Cl (0.149, 0.787, 0.787)
Na (0.000, 0.000, 0.500)
Hg (0.499, 0.513, 0.251)
Hg (0.501, 0.487, 0.749)
Tl (0.000, 0.000, 0.000)



# 3
SrCd3Ag8: relaxed, PBE.

Properties
space group: R3m, No. 160
E_form: -0.070 eV per atom
polymorph energy (0 for the lowest one): 0 meV per atom
DFT total energy: -28.08 eV per formula unit
DOS at the Fermi energy: 0.470 states/eV/atom

Unit cell a=5.649 b=5.649 c=9.762 alpha=73.18 beta=73.18 gamma=60.00
Fractional positions:
Ag (0.937, 0.434, 0.691)
Ag (0.689, 0.689, 0.934)
Ag (0.440, 0.440, 0.177)
Ag (0.937, 0.937, 0.691)
Ag (0.943, 0.440, 0.177)
Ag (0.434, 0.937, 0.691)
Ag (0.188, 0.188, 0.435)
Ag (0.440, 0.943, 0.177)
Cd (0.006, 0.006, 0.983)
Cd (0.487, 0.487, 0.540)
Cd (0.373, 0.373, 0.880)
Sr (0.875, 0.875, 0.374)



# 4
PrZrCu: relaxed, PBE.

Properties
space group: I4mm, No. 107
E_form: 0.000 eV per atom
polymorph energy (0 for the lowest one): 65 meV per atom
DFT total energy: -17.42 eV per formula unit
DOS at the Fermi energy: 1.354 states/eV/atom

Unit cell a=3.431 b=3.431 c=6.450 alpha=105.43 beta=105.43 gamma=90.00
Fractional positions:
Zr (0.303, 0.303, 0.606)
Pr (0.007, 0.007, 0.014)
Cu (0.690, 0.690, 0.380)



# 5
KLi2Os: relaxed, PBE.

Properties
space group: Fm-3m, No. 225
E_form: 1.045 eV per atom
polymorph energy (0 for the lowest one): 476 meV per atom
DFT total energy: -11.97 eV per formula unit
DOS at the Fermi energy: 0.960 states/eV/atom

Unit cell a=4.835 b=4.835 c=4.835 alpha=60.00 beta=60.00 gamma=60.00
Each line ends with the local moment (μB).
Fractional positions:
Os (0.500, 0.500, 0.500)  1.34
K (0.000, 0.000, 0.000)  -0.01
Li (0.750, 0.750, 0.750)  -0.03
Li (0.250, 0.250, 0.250)  -0.03



# 6
Ni2PtAuN: relaxed, PBE.

Properties
ΔE_f (raw): 0.16 eV per atom
space group: P4/mmm, No. 123
DFT total energy: -28.43 eV per formula unit
DOS at the Fermi energy: 0.953 states/eV/atom

Unit cell a=3.877 b=3.877 c=4.181 alpha=90.00 beta=90.00 gamma=90.00
Fractional positions:
Pt (0.000, 0.000, 0.500)
Ni (0.500, 0.000, 0.000)
Ni (0.000, 0.500, 0.000)
N (0.000, 0.000, 0.000)
Au (0.500, 0.500, 0.500)